Arrangement a

VASP calculation (PBE) on an optimized crystal structure of BaNaV.

Cell lengths 3.448, 3.968, 15.417 Å; angles 88.70, 83.64, 76.35 degrees
Space group P1 (No. 1)
Symmetry-distinct sites (fractional):
Ba 0.000 0.000 0.000
Ba 0.183 0.485 0.626
Na 0.383 0.490 0.220
Na 0.793 0.991 0.406
V 0.426 0.957 0.793
V 0.760 0.530 0.832

V = 203.67 Å³ per cell



Arrangement b

VASP calculation (PBE) on an optimized crystal structure of BaNaV.

Cell lengths 12.449, 5.502, 8.627 Å; angles 90.00, 133.47, 90.00 degrees
Space group C2/m (No. 12)
Symmetry-distinct sites (fractional):
Ba 0.061 0.000 0.312
Na 0.180 0.500 0.081
V 0.100 0.500 0.616

V = 428.78 Å³ per cell



Which of them is the most stable? Correct choice: arrangement a.



Arrangement a

VASP calculation (PBE) on an optimized crystal structure of Sc3HgO.

Cell lengths 11.434, 4.610, 7.715 Å; angles 90.00, 110.22, 90.00 degrees
Space group C2/m (No. 12)
Symmetry-distinct sites (fractional):
Sc 0.000 0.000 0.000
Sc 0.000 0.000 0.500
Sc 0.211 0.500 0.096
Sc 0.230 0.500 0.620
Hg 0.016 0.500 0.267
O 0.196 0.000 0.091

V = 381.57 Å³ per cell



Arrangement b

VASP calculation (PBE) on an optimized crystal structure of Sc3HgO.

Cell lengths 4.430, 4.430, 4.430 Å; angles 90.00, 90.00, 90.00 degrees
Space group Pm-3m (No. 221)
Symmetry-distinct sites (fractional):
Sc 0.000 0.000 0.500
Hg 0.500 0.500 0.500
O 0.000 0.000 0.000

V = 86.95 Å³ per cell



Which of them is the most stable? Correct choice: arrangement b.



Arrangement a

VASP calculation (PBE) on an optimized crystal structure of BC2.

Cell lengths 4.662, 2.491, 6.589 Å; angles 90.00, 92.17, 90.00 degrees
Space group Pm (No. 6)
Symmetry-distinct sites (fractional):
B 0.000 0.000 0.000
B 0.154 0.500 0.672
B 0.367 0.000 0.547
B 0.832 0.500 0.335
C 0.031 0.000 0.241
C 0.193 0.500 0.907
C 0.353 0.000 0.304
C 0.507 0.500 0.226
C 0.509 0.500 0.986
C 0.665 0.000 0.907
C 0.686 0.000 0.671
C 0.818 0.500 0.585

V = 76.47 Å³ per cell



Arrangement b

VASP calculation (PBE) on an optimized crystal structure of BC2.

Cell lengths 3.510, 4.409, 5.292 Å; angles 99.02, 91.18, 112.37 degrees
Space group P-1 (No. 2)
Symmetry-distinct sites (fractional):
B 0.132 0.084 0.144
B 0.242 0.716 0.033
C 0.121 0.976 0.611
C 0.207 0.658 0.534
C 0.417 0.605 0.769
C 0.477 0.704 0.300

V = 74.50 Å³ per cell



Which of them is the most stable? Correct choice: arrangement b.



Arrangement a

VASP calculation (PBE) on an optimized crystal structure of CoRuCl3.

Cell lengths 6.108, 7.758, 9.608 Å; angles 90.00, 90.00, 90.00 degrees
Space group Cmcm (No. 63)
Symmetry-distinct sites (fractional):
Co 0.000 0.001 0.250
Ru 0.000 0.500 0.250
Cl 0.000 0.500 0.000
Cl 0.250 0.250 0.250

V = 455.25 Å³ per cell



Arrangement b

VASP calculation (PBE) on an optimized crystal structure of CoRuCl3.

Cell lengths 3.594, 6.711, 10.431 Å; angles 90.00, 90.00, 90.00 degrees
Space group Amm2 (No. 38)
Symmetry-distinct sites (fractional):
Co 0.000 0.000 0.000
Ru 0.500 0.000 0.360
Cl 0.000 0.237 0.366
Cl 0.500 0.000 0.129

V = 251.61 Å³ per cell



Which of them is the most stable? Correct choice: arrangement b.



Arrangement a

VASP calculation (PBE) on an optimized crystal structure of B5C7.

Cell lengths 4.646, 4.666, 4.698 Å; angles 102.35, 103.29, 119.68 degrees
Space group P1 (No. 1)
Symmetry-distinct sites (fractional):
B 0.000 0.000 0.000
B 0.050 0.677 0.058
B 0.519 0.160 0.523
B 0.618 0.270 0.958
B 0.834 0.804 0.493
C 0.141 0.761 0.445
C 0.189 0.493 0.562
C 0.322 0.626 0.926
C 0.353 0.359 0.056
C 0.457 0.449 0.436
C 0.674 0.993 0.067
C 0.823 0.130 0.434

V = 79.37 Å³ per cell



Arrangement b

VASP calculation (PBE) on an optimized crystal structure of B5C7.

Cell lengths 8.276, 3.702, 5.317 Å; angles 90.00, 103.67, 90.00 degrees
Space group C2 (No. 5)
Symmetry-distinct sites (fractional):
B 0.000 0.000 0.000
B 0.023 0.286 0.287
B 0.174 0.549 0.854
C 0.000 0.004 0.500
C 0.162 0.784 0.579
C 0.171 0.780 0.106
C 0.178 0.544 0.345

V = 158.30 Å³ per cell



Which of them is the most stable? Correct choice: arrangement b.



Arrangement a

VASP calculation (PBE) on an optimized crystal structure of MnAsBr2.

Cell lengths 3.595, 6.036, 10.359 Å; angles 90.00, 90.00, 90.00 degrees
Space group Cmmm (No. 65)
Symmetry-distinct sites (fractional):
Mn 0.000 0.000 0.000
As 0.000 0.000 0.500
Br 0.000 0.500 0.174

V = 224.76 Å³ per cell



Arrangement b

VASP calculation (PBE) on an optimized crystal structure of MnAsBr2.

Cell lengths 6.682, 6.682, 8.920 Å; angles 90.00, 90.00, 90.00 degrees
Space group I-42d (No. 122)
Symmetry-distinct sites (fractional):
Mn 0.000 0.000 0.000
As 0.000 0.000 0.500
Br 0.172 0.250 0.125

V = 398.25 Å³ per cell



Which of them is the most stable? Correct choice: arrangement a.



Arrangement a

VASP calculation (PBE) on an optimized crystal structure of Ni2RhW.

Cell lengths 8.738, 2.708, 4.495 Å; angles 90.00, 100.82, 90.00 degrees
Space group Cm (No. 8)
Symmetry-distinct sites (fractional):
Ni 0.000 0.000 0.000
Ni 0.245 0.500 0.228
Rh 0.251 0.000 0.738
W 0.494 0.000 0.483

V = 104.47 Å³ per cell



Arrangement b

VASP calculation (PBE) on an optimized crystal structure of Ni2RhW.

Cell lengths 4.306, 5.226, 4.585 Å; angles 90.00, 90.00, 90.00 degrees
Space group Pmmn (No. 59, origin choice 2)
Symmetry-distinct sites (fractional):
Ni 0.250 0.001 0.156
Rh 0.250 0.250 0.664
W 0.250 0.750 0.666

V = 103.18 Å³ per cell



Which of them is the most stable? Correct choice: arrangement b.